[1]
A relaxed PmCd11Pd crystal. Source: Alexandria via LeMat-Bulk, functional PBE-GGA.

Summary:
- Electronic total energy: -22.3 eV per cell
- ΔH_f (0 K): -0.1771 eV/atom
- Space-group type: C2/m (12)
- DOS(E_F): 5.66 states/eV/cell
- Total magnetic moment: 0.0000 μB per atom

Unit cell a=5.7521 b=7.6114 c=7.6505 alpha=81.96 beta=67.92 gamma=68.15
Closest atoms and distances in Å follow each position.
Fractional coordinates of all 13 atoms:
Pm 0.0000 0.0000 0.0000  18 Cd 3.50-3.83, 2 Pd 3.82
Cd 0.2965 0.2150 0.2084  1 Pd 2.85, 7 Cd 2.91-3.17
Cd 0.7035 0.7850 0.7916  1 Pd 2.85, 7 Cd 2.91-3.17
Cd 0.4951 0.7850 0.2084  1 Pd 2.85, 7 Cd 2.91-3.17
Cd 0.5049 0.2150 0.7916  1 Pd 2.85, 7 Cd 2.91-3.17
Cd 0.3618 0.6433 0.6582  1 Pd 2.96, 7 Cd 3.02-3.30
Cd 0.6382 0.3567 0.3418  1 Pd 2.96, 7 Cd 3.02-3.30
Cd 0.9800 0.3567 0.6582  1 Pd 2.96, 7 Cd 3.02-3.30
Cd 0.0200 0.6433 0.3418  1 Pd 2.96, 7 Cd 3.02-3.30
Cd 0.0000 0.5000 0.0000  2 Pd 2.88, 8 Cd 2.91-3.03
Cd 0.5000 0.0000 0.5000  10 Cd 2.88-3.15
Cd 0.0000 0.0000 0.5000  10 Cd 2.88-3.15
Pd 0.5000 0.5000 0.0000  10 Cd 2.85-2.96



[2]
A relaxed PmCd7Pd5 crystal. Source: Alexandria via LeMat-Bulk, functional PBE-GGA.

Summary:
- Electronic total energy: -42.3 eV per cell
- ΔH_f (0 K): -0.3985 eV/atom
- Space-group type: Imm2 (44)
- DOS(E_F): 4.75 states/eV/cell
- Total magnetic moment: 0.0000 μB per atom

Unit cell a=5.7024 b=7.3268 c=7.3268 alpha=81.32 beta=67.10 gamma=67.10
Closest atoms and distances in Å follow each position.
Fractional coordinates of all 13 atoms:
Pm 0.0585 0.9415 0.9415  3 Cd 3.04-3.33, 6 Pd 3.21-3.22
Cd 0.6946 0.3054 0.3054  4 Pd 2.87, 3 Cd 2.92-3.03
Cd 0.3775 0.6225 0.6225  7 Cd 3.03-3.38, 6 Pd 3.03-3.25, 1 Pm 3.04
Cd 0.9790 0.3605 0.6816  5 Pd 2.84-2.97, 4 Cd 3.07-3.15
Cd 0.9790 0.6816 0.3605  5 Pd 2.84-2.97, 4 Cd 3.07-3.15
Cd 0.2600 0.2400 0.2400  4 Pd 2.81, 6 Cd 2.92-3.09
Cd 0.4932 0.8058 0.2079  5 Pd 2.78-2.85, 2 Cd 2.94-3.06
Cd 0.4932 0.2079 0.8058  5 Pd 2.78-2.85, 2 Cd 2.94-3.06
Pd 0.4814 0.0072 0.5175  3 Pd 2.77-2.92, 7 Cd 2.78-3.03
Pd 0.9939 0.0072 0.5175  3 Pd 2.77-2.92, 7 Cd 2.78-3.03
Pd 0.4814 0.5175 0.0072  3 Pd 2.77-2.92, 7 Cd 2.78-3.03
Pd 0.9939 0.5175 0.0072  3 Pd 2.77-2.92, 7 Cd 2.78-3.03
Pd 0.7144 0.7856 0.7856  4 Pd 2.77, 4 Cd 2.85-2.95



[3]
A relaxed Pm2Cd3Pd4 crystal. Source: Alexandria via LeMat-Bulk, functional PBE-GGA.

Summary:
- Electronic total energy: -38.3 eV per cell
- ΔH_f (0 K): -0.5866 eV/atom
- Space-group type: P-1 (2)
- DOS(E_F): 4.49 states/eV/cell
- Total magnetic moment: 0.0000 μB per atom

Unit cell a=4.8280 b=4.8244 c=9.1286 alpha=84.12 beta=84.01 gamma=62.04
Closest atoms and distances in Å follow each position.
Fractional coordinates of all 9 atoms:
Pm 0.3481 0.3484 0.7787  7 Pd 2.92-3.04, 1 Cd 3.23
Pm 0.6519 0.6516 0.2213  7 Pd 2.92-3.04, 1 Cd 3.23
Cd 0.2996 0.2996 0.4179  5 Pd 2.85-2.93, 2 Cd 2.97
Cd 0.0000 0.0000 0.0000  8 Pd 2.95-3.14
Cd 0.7004 0.7004 0.5821  5 Pd 2.85-2.93, 2 Cd 2.97
Pd 0.6704 0.6712 0.8999  4 Cd 2.88-2.98, 4 Pm 2.92-3.03, 1 Pd 3.17
Pd 0.9733 0.9738 0.3465  5 Cd 2.85-3.14, 1 Pd 2.89, 3 Pm 3.02-3.04
Pd 0.0267 0.0262 0.6535  5 Cd 2.85-3.14, 1 Pd 2.89, 3 Pm 3.02-3.04
Pd 0.3296 0.3288 0.1001  4 Cd 2.88-2.98, 4 Pm 2.92-3.03, 1 Pd 3.17